# 1
This record from the Alexandria database describes a PBEsol-optimized structure of BiSbMo3. The functional is SCAN.

Values from the calculation:
formation energy from raw total energies: 2.368 eV per atom
space-group type: Pm-3m (221)

Geometry as POSCAR:
```
BiSbMo3
1.0
4.996 0.000 0.000
0.000 4.996 0.000
0.000 0.000 4.996
Bi Mo Sb
1 3 1
Direct
0.000 0.000 0.000
0.000 0.500 0.000
0.500 0.000 0.000
0.000 0.000 0.500
0.500 0.500 0.500
```

***

# 2
This record from the Alexandria database describes a PBEsol-optimized structure of BiSb3Mo. The functional is SCAN.

Values from the calculation:
formation energy from raw total energies: 1.648 eV per atom
space-group type: Pm-3m (221)

Geometry as POSCAR:
```
BiSb3Mo
1.0
5.671 0.000 0.000
0.000 5.671 0.000
0.000 0.000 5.671
Sb Mo Bi
3 1 1
Direct
0.000 0.500 0.000
0.500 0.000 0.000
0.000 0.000 0.500
0.500 0.500 0.500
0.000 0.000 0.000
```

***

# 3
This record from the Alexandria database describes a PBEsol-optimized structure of TcBiSbMo2. The functional is SCAN.

Values from the calculation:
formation energy from raw total energies: 2.272 eV per atom
space-group type: P4/mmm (123)

Geometry as POSCAR:
```
TcBiSbMo2
1.0
-0.418 -2.392 -4.272
4.854 -0.758 -0.051
-0.712 -4.743 2.726
Mo Sb Tc Bi
2 1 1 1
Direct
0.500 0.000 0.000
0.000 0.500 0.000
0.000 0.000 0.000
0.500 0.500 0.500
0.000 0.000 0.500
```

***

# 4
This record from the Alexandria database describes a PBEsol-optimized structure of Bi2MoSe. The functional is SCAN.

Values from the calculation:
formation energy from raw total energies: 0.848 eV per atom
space-group type: I-42d (122)

Geometry as POSCAR:
```
Bi2MoSe
1.0
6.390 0.000 0.000
0.000 6.390 0.000
-3.195 -3.195 6.418
Bi Se Mo
4 2 2
Direct
0.125 0.089 0.750
0.625 0.661 0.750
0.911 0.375 0.250
0.339 0.875 0.250
0.750 0.250 0.500
0.500 0.500 0.000
0.250 0.750 0.500
0.000 0.000 0.000
```

***

# 5
This record from the Alexandria database describes a PBEsol-optimized structure of Bi2TeMoSe. The functional is SCAN.

Values from the calculation:
formation energy from raw total energies: 1.231 eV per atom
space-group type: P4/mmm (123)

Geometry as POSCAR:
```
Bi2TeMoSe
1.0
-3.350 1.557 -3.749
-4.069 -2.446 2.620
-0.967 4.566 2.761
Bi Te Mo Se
2 1 1 1
Direct
0.000 0.000 0.500
0.000 0.500 0.000
0.500 0.000 0.000
0.500 0.500 0.500
0.000 0.000 0.000
```

***

# 6
This record from the Alexandria database describes a PBEsol-optimized structure of Si2BiMo. The functional is SCAN.

Values from the calculation:
formation energy from raw total energies: 0.661 eV per atom
space-group type: I-42d (122)

Geometry as POSCAR:
```
Si2BiMo
1.0
4.452 0.000 0.000
0.000 4.452 0.000
-2.226 -2.226 8.456
Si Mo Bi
4 2 2
Direct
0.125 0.258 0.750
0.742 0.375 0.250
0.508 0.875 0.250
0.625 0.492 0.750
0.500 0.500 0.000
0.750 0.250 0.500
0.250 0.750 0.500
0.000 0.000 0.000
```

***

# 7
This record from the Alexandria database describes a PBEsol-optimized structure of SiBi3Mo. The functional is SCAN.

Values from the calculation:
formation energy from raw total energies: 1.326 eV per atom
space-group type: Pm-3m (221)

Geometry as POSCAR:
```
SiBi3Mo
1.0
5.263 0.000 0.000
0.000 5.263 0.000
0.000 0.000 5.263
Mo Bi Si
1 3 1
Direct
0.500 0.500 0.500
0.500 0.000 0.000
0.000 0.500 0.000
0.000 0.000 0.500
0.000 0.000 0.000
```

***

# 8
This record from the Alexandria database describes a PBEsol-optimized structure of Sr3BiMo. The functional is SCAN.

Values from the calculation:
space-group type: Pm-3m (221)
formation enthalpy at 0 K: 3.2 eV per formula unit

Geometry as POSCAR:
```
Sr3BiMo
1.0
-1.050 -4.860 2.465
5.101 -1.759 -1.294
1.915 2.021 4.800
Sr Bi Mo
3 1 1
Direct
0.000 0.500 0.000
0.000 0.000 0.500
0.500 0.000 0.000
0.500 0.500 0.500
0.000 0.000 0.000
```

***

# 9
This record from the Alexandria database describes a PBEsol-optimized structure of SrBiMo3. The functional is SCAN.

Values from the calculation:
space-group type: Pm-3m (221)
formation enthalpy at 0 K: 10.3 eV per formula unit

Geometry as POSCAR:
```
SrBiMo3
1.0
-4.390 2.068 1.523
0.681 -1.972 4.638
2.476 4.208 1.426
Bi Mo Sr
1 3 1
Direct
0.000 0.000 0.000
0.500 0.000 0.000
0.000 0.000 0.500
0.000 0.500 0.000
0.500 0.500 0.500
```

***

# 10
This record from the Alexandria database describes a PBEsol-optimized structure of SrBi3Mo. The functional is SCAN.

Values from the calculation:
space-group type: Pm-3m (221)
formation enthalpy at 0 K: 7.4 eV per formula unit

Geometry as POSCAR:
```
SrBi3Mo
1.0
-0.420 5.862 0.183
-5.549 -0.337 -1.918
-1.901 -0.310 5.556
Bi Mo Sr
3 1 1
Direct
0.000 0.000 0.500
0.500 0.000 0.000
0.000 0.500 0.000
0.500 0.500 0.500
0.000 0.000 0.000
```

***

# 11
This record from the Alexandria database describes a PBEsol-optimized structure of TaZnBiMo2. The functional is SCAN.

Values from the calculation:
space-group type: P4/mmm (123)
formation enthalpy at 0 K: 7.5 eV per formula unit

Geometry as POSCAR:
```
TaZnBiMo2
1.0
4.767 0.000 0.000
0.000 4.767 0.000
0.000 0.000 4.916
Mo Bi Ta Zn
2 1 1 1
Direct
0.500 0.000 0.000
0.000 0.500 0.000
0.500 0.500 0.500
0.000 0.000 0.000
0.000 0.000 0.500
```

***

# 12
This record from the Alexandria database describes a PBEsol-optimized structure of TlBiMo2. The functional is SCAN.

Values from the calculation:
space-group type: Fm-3m (225)
formation enthalpy at 0 K: 3.8 eV per formula unit

Geometry as POSCAR:
```
TlBiMo2
1.0
-1.225 4.323 1.507
-1.119 0.693 4.553
2.926 2.446 2.813
Tl Mo Bi
1 2 1
Direct
0.000 0.000 0.000
0.750 0.750 0.750
0.250 0.250 0.250
0.500 0.500 0.500
```